A plane-wave DFT calculation with GGA-PBE was carried out for a geometry-optimized Nb2HgIr2 structure.

The structure in CIF format:
```
data_Nb2HgIr2
_chemical_formula_sum 'Nb4 Hg2 Ir4'
_cell_length_a 7.781
_cell_length_b 7.781
_cell_length_c 2.922
_cell_angle_alpha 90.00
_cell_angle_beta 90.00
_cell_angle_gamma 90.00
_symmetry_space_group_name_H-M 'P 4/m b m'
_symmetry_Int_Tables_number 127
_symmetry_space_group_name_Hall '-P 4 2ab'
loop_
_atom_site_label
_atom_site_type_symbol
_atom_site_fract_x
_atom_site_fract_y
_atom_site_fract_z
Nb1 Nb 0.164 0.336 0.000
Hg1 Hg 0.000 0.000 0.500
Ir1 Ir 0.128 0.628 0.500
```

The formation energy is -0.3047 eV per atom. Its electronic total energy is -7.94 eV/atom. The total magnetization comes out at 0.00 μB/f.u. The polymorph energy (0 for the lowest one) comes out at 0.000 eV/atom.